[1]
## ReRhBr2 (PBE-GGA)

Data for ReRhBr2 after structural relaxation.

Cell lengths 6.655, 6.655, 6.655 Å; angles 90.00, 90.00, 90.00 degrees
Space group F-43m (No. 216)
Unique sites:
Re: 0.000 0.000 0.000
Rh: 0.250 0.250 0.250
Br: 0.000 0.000 0.500
Br: 0.250 0.250 0.750

Raw formation energy, eV/atom: 1.315
Distance to the lowest polymorph of the same formula, meV/atom: 1057
DFT total energy, eV per atom: -4.47

=====

[2]
## Cs2HgBiCl6 (PBE-GGA)

Data for Cs2HgBiCl6 after structural relaxation.

Cell lengths 11.249, 11.249, 11.249 Å; angles 90.00, 90.00, 90.00 degrees
Space group Fm-3m (No. 225)
Unique sites:
Cs: 0.250 0.250 0.250
Hg: 0.000 0.000 0.000
Bi: 0.000 0.000 0.500
Cl: 0.000 0.000 0.258

Raw formation energy, eV/atom: -1.287
DFT total energy, eV per atom: -2.98

=====

> Which value of DFT total energy does entry 1 give?

-4.47 eV per atom

=====

Please write out number 1 again, unchanged.
## ReRhBr2 (PBE-GGA)

Data for ReRhBr2 after structural relaxation.

Cell lengths 6.655, 6.655, 6.655 Å; angles 90.00, 90.00, 90.00 degrees
Space group F-43m (No. 216)
Unique sites:
Re: 0.000 0.000 0.000
Rh: 0.250 0.250 0.250
Br: 0.000 0.000 0.500
Br: 0.250 0.250 0.750

Raw formation energy, eV/atom: 1.315
Distance to the lowest polymorph of the same formula, meV/atom: 1057
DFT total energy, eV per atom: -4.47